PBE Ca2HfPb, relaxed; Fermi-level density of states = 1.302 states/eV per atom; E_form = 436 meV/atom; total moment = 1.6 μB per formula unit; space-group type = I-42d
1.0
-4.4164 4.4164 3.1539
4.4164 -4.4164 3.1539
4.4164 4.4164 -3.1539
Ca Hf Pb
4 2 2
Cartesian
2.2082 2.0431 -0.7885
2.3733 -2.2082 3.9423
2.2082 2.3733 2.3654
2.0431 6.6246 0.7885
4.4164 0.0000 1.5769
0.0000 0.0000 3.1539
0.0000 0.0000 0.0000
0.0000 4.4164 1.5769

---

PBE HfSc2Te, relaxed; Fermi-level density of states = 0.836 states/eV per atom; total moment = 0.0 μB per formula unit; E = -27.103 eV for the cell shown; space-group type = R3m
1.0
1.7762 1.0255 8.9833
-1.7762 1.0255 8.9833
0.0000 -2.0509 8.9833
Hf Sc Te
1 2 1
Cartesian
0.0000 0.0000 0.0000
0.0000 0.0000 6.5624
0.0000 0.0000 11.3666
0.0000 0.0000 22.4495

---

PBE AsBr5, relaxed; Fermi-level density of states = 0.661 states/eV per atom; total moment = 0.0 μB per formula unit; E = -10.844 eV for the cell shown; space-group type = P4/mmm
1.0
3.1717 0.0000 0.0000
0.0000 3.1717 0.0000
0.0000 0.0000 18.9495
As Br
1 5
Cartesian
0.0000 0.0000 0.0000
0.0000 0.0000 5.2768
0.0000 0.0000 13.6727
1.5858 1.5858 1.8076
1.5858 1.5858 9.4748
1.5858 1.5858 17.1419

---

PBE Ca3Zn3Ga2, relaxed; Fermi-level density of states = 0.544 states/eV per atom; E_form = -374 meV/atom; total moment = 0.0 μB per formula unit; space-group type = Cmcm
1.0
2.2414 -5.4511 0.0000
2.2414 5.4511 0.0000
0.0000 0.0000 14.8443
Ca Zn Ga
6 6 4
Cartesian
2.2414 4.4557 8.9955
2.2414 4.4557 13.2709
2.2414 1.3177 11.1332
2.2414 -1.3177 3.7111
2.2414 -4.4557 1.5734
2.2414 -4.4557 5.8488
2.2414 1.8640 3.7111
2.2414 1.2354 7.9780
2.2414 1.2354 14.2884
2.2414 -1.2354 0.5559
2.2414 -1.2354 6.8663
2.2414 -1.8640 11.1332
2.2414 3.2502 1.4620
2.2414 3.2502 5.9602
2.2414 -3.2502 8.8841
2.2414 -3.2502 13.3823

---

PBE HoCu5Hg, relaxed; Fermi-level density of states = 0.498 states/eV per atom; E_form = -169 meV/atom; total moment = 0.0 μB per formula unit; space-group type = Pnma
1.0
8.2630 0.0000 0.0000
0.0000 5.0188 0.0000
0.0000 0.0000 10.4993
Ho Cu Hg
4 20 4
Cartesian
2.0376 1.2547 0.7000
2.0939 3.7641 5.9496
6.1692 1.2547 4.5497
6.2254 3.7641 9.7993
0.4467 3.7641 1.1337
0.5654 0.0053 3.3014
0.5654 2.5041 3.3014
0.6873 1.2547 5.4227
1.5424 1.2547 7.7729
2.5892 3.7641 2.5233
3.4443 3.7641 0.1731
3.5661 2.5148 8.5510
3.5661 5.0135 8.5510
3.6849 1.2547 6.3834
4.5782 3.7641 4.1159
4.6969 0.0053 1.9482
4.6969 2.5041 1.9482
4.8188 1.2547 10.3262
5.6739 1.2547 7.9760
6.7207 3.7641 2.7263
7.5758 3.7641 5.0765
7.6976 2.5148 7.1979
7.6976 5.0135 7.1979
7.8164 1.2547 9.3655
1.1081 3.7641 9.0823
3.0234 1.2547 3.8326
5.2396 3.7641 6.6666
7.1550 1.2547 1.4170

---

PBE BaScTa2, relaxed; Fermi-level density of states = 1.804 states/eV per atom; ΔE to the lowest computed polymorph = 839 meV per atom; E_form = 1270 meV/atom; total moment = 2.5 μB per formula unit; space-group type = Fm-3m
1.0
0.0000 3.6227 3.6227
3.6227 0.0000 3.6227
3.6227 3.6227 0.0000
Ba Sc Ta
1 1 2
Cartesian
0.0000 0.0000 0.0000
3.6227 3.6227 3.6227
1.8114 1.8114 1.8114
5.4341 5.4341 5.4341

---

PBE Zn8IrRh2, relaxed; Fermi-level density of states = 0.353 states/eV per atom; E_form = -264 meV/atom; total moment = 0.0 μB per formula unit; space-group type = Immm
1.0
-2.0827 3.4014 5.6506
2.0827 -3.4014 5.6506
2.0827 3.4014 -5.6506
Zn Ir Rh
8 1 2
Cartesian
0.0000 0.0000 1.6291
2.0827 2.0510 -1.6165
0.0000 2.1352 0.0000
2.0827 2.0510 1.6165
0.0000 1.3505 4.0341
0.0000 4.6676 0.0000
0.0000 1.3505 7.2671
0.0000 0.0000 9.6721
2.0827 0.0000 0.0000
2.0827 0.0000 3.2246
0.0000 3.4014 2.4261

---

PBE Ca5ErTl6, relaxed; Fermi-level density of states = 0.605 states/eV per atom; E_form = -421 meV/atom; total moment = 0.0 μB per formula unit; space-group type = C2/m
1.0
8.5662 -3.9044 0.0000
8.5662 3.9044 0.0000
-1.6856 0.0000 5.1768
Ca Er Tl
5 1 6
Cartesian
0.0000 0.0000 0.0000
1.7083 0.0000 3.4419
5.0732 0.0000 1.7000
10.3736 0.0000 3.4768
13.7385 0.0000 1.7349
8.5662 0.0000 0.0000
4.3518 1.9056 4.3292
7.7234 1.8770 2.5884
11.0949 1.9056 0.8476
4.3518 -1.9056 4.3292
7.7234 -1.8770 2.5884
11.0949 -1.9056 0.8476

---

PBE CaAcLaHo, relaxed; Fermi-level density of states = 1.416 states/eV per atom; ΔE to the lowest computed polymorph = 20 meV per atom; E_form = 91 meV/atom; total moment = 0.0 μB per formula unit; space-group type = F-43m
1.0
0.0000 4.2486 4.2486
4.2486 0.0000 4.2486
4.2486 4.2486 0.0000
Ca Ac La Ho
1 1 1 1
Cartesian
0.0000 0.0000 0.0000
6.3729 6.3729 6.3729
2.1243 2.1243 2.1243
4.2486 4.2486 4.2486

---

PBE CdReBr2, relaxed; Fermi-level density of states = 0.492 states/eV per atom; ΔE to the lowest computed polymorph = 469 meV per atom; total moment = 1.2 μB per formula unit; space-group type = P2/m
1.0
3.4476 0.0000 0.0000
0.0000 4.2773 0.0000
-1.6219 0.0000 6.0134
Cd Re Br
1 1 2
Cartesian
0.0000 0.0000 0.0000
-0.8109 0.0000 3.0067
-0.1296 2.1387 4.3425
1.9553 2.1387 1.6709

---

PBE MnTeOs2, relaxed; Fermi-level density of states = 1.120 states/eV per atom; total moment = 2.7 μB per formula unit; E = -31.858 eV for the cell shown; space-group type = Imm2
1.0
-1.5575 2.2476 4.5161
1.5575 -2.2476 4.5161
1.5575 2.2476 -4.5161
Mn Te Os
1 1 2
Cartesian
0.0000 0.0000 0.0000
1.5575 0.0000 2.1842
0.0000 0.0000 4.3339
0.0000 2.2476 2.2096

---

PBE La6PrTm12, relaxed; Fermi-level density of states = 1.712 states/eV per atom; E_form = 222 meV/atom; total moment = 0.0 μB per formula unit; space-group type = R-3m
1.0
6.6453 3.8367 4.2203
-6.6453 3.8367 4.2203
0.0000 -7.6734 4.2203
La Pr Tm
6 1 12
Cartesian
-2.9693 -1.7144 5.6918
0.0000 -3.4287 6.9690
-2.9693 1.7143 6.9690
2.9694 -1.7144 5.6918
0.0000 3.4287 5.6918
2.9693 1.7144 6.9690
0.0000 0.0000 6.3304
-1.6818 -4.7605 4.2203
-4.9636 0.9238 4.2203
0.0000 -2.1162 3.0011
-1.8327 1.0581 3.0011
1.6818 -4.7605 4.2203
-3.2818 3.8367 4.2203
1.8327 1.0581 3.0011
-1.8327 -1.0581 9.6597
4.9636 0.9238 4.2203
3.2818 3.8367 4.2203
1.8327 -1.0581 9.6597
0.0000 2.1162 9.6597

---

PBE TbDy2Fe9, relaxed; Fermi-level density of states = 1.258 states/eV per atom; E_form = -67 meV/atom; total moment = 17.0 μB per formula unit; space-group type = R-3m
1.0
2.5464 1.4701 8.0812
-2.5464 1.4701 8.0812
0.0000 -2.9403 8.0812
Tb Dy Fe
1 2 9
Cartesian
0.0000 0.0000 0.0000
0.0000 0.0000 3.4412
0.0000 0.0000 20.8024
-1.2708 -0.7337 10.0563
0.0000 0.0000 8.0684
0.0000 -1.4674 14.1873
-1.2708 0.7337 14.1873
0.0000 0.0000 12.1218
1.2708 -0.7337 10.0563
0.0000 1.4674 10.0563
0.0000 0.0000 16.1752
1.2708 0.7337 14.1873